Record 1
## Pr8Dy5Er (PBE-GGA)

Data for a geometry-optimized Pr8Dy5Er structure.

a = 13.081 Å, b = 11.292 Å, c = 9.199 Å
α = 90.00°, β = 133.99°, γ = 90.00°
Space group C2 (No. 5)
Asymmetric unit:
Pr 0.061 0.000 0.278 [4 per cell]
Pr 0.064 0.557 0.289 [4 per cell]
Pr 0.155 0.277 0.047 [4 per cell]
Pr 0.199 0.085 0.768 [4 per cell]
Dy 0.000 0.775 0.500 [2 per cell]
Dy 0.183 0.279 0.462 [4 per cell]
Dy 0.195 0.472 0.762 [4 per cell]
Er 0.000 0.778 0.000 [2 per cell]

Results
raw total energy: -126.936 eV for the cell shown
total magnetic moment: 0.000 μB/atom
DOS at the Fermi energy: 1.51 states/eV/atom


Record 2
## Pr4Dy2Er5 (PBE-GGA)

Data for a geometry-optimized Pr4Dy2Er5 structure.

a = 19.182 Å, b = 5.670 Å, c = 6.652 Å
α = 90.00°, β = 90.77°, γ = 90.00°
Space group C2/m (No. 12)
Asymmetric unit:
Pr 0.021 0.000 0.286 [4 per cell]
Pr 0.194 0.500 0.074 [4 per cell]
Dy 0.098 0.500 0.556 [4 per cell]
Er 0.000 0.500 0.000 [2 per cell]
Er 0.131 0.000 0.886 [4 per cell]
Er 0.209 0.000 0.402 [4 per cell]

Results
raw total energy: -99.938 eV for the cell shown
total magnetic moment: 0.000 μB/atom
DOS at the Fermi energy: 1.44 states/eV/atom